No. 1
The following is a DFT calculation (PBE) of a relaxed structure of Dy5PaBi6.

CIF file:
```
data_Dy5PaBi6
_cell_length_a 7.7473
_cell_length_b 13.4242
_cell_length_c 7.7447
_cell_angle_alpha 90.00
_cell_angle_beta 109.47
_cell_angle_gamma 90.00
_symmetry_space_group_name_H-M 'C 1 2/m 1'
_symmetry_Int_Tables_number 12
loop_
_symmetry_equiv_pos_as_xyz
'x,y,z'
'-x,-y,-z'
'-x,y,-z'
'x,-y,z'
'x+1/2,y+1/2,z'
'-x+1/2,-y+1/2,-z'
'-x+1/2,y+1/2,-z'
'x+1/2,-y+1/2,z'
loop_
_atom_site_label
_atom_site_type_symbol
_atom_site_fract_x
_atom_site_fract_y
_atom_site_fract_z
_atom_site_occupancy
Dy1 Dy 0.0000 0.0000 0.0000 1
Dy2 Dy 0.0000 0.1664 0.5000 1
Dy3 Dy 0.0000 0.3326 0.0000 1
Pa1 Pa 0.0000 0.5000 0.5000 1
Bi1 Bi 0.2493 0.3339 0.7500 1
Bi2 Bi 0.2487 0.5000 0.2509 1
```

Total moment in μB per formula unit: 0.71
Energy of formation from the pure elements in eV/atom: -0.724
DFT total energy in eV per atom: -5.37



No. 2
The following is a DFT calculation (PBE) of a relaxed structure of DyPaBi.

CIF file:
```
data_DyPaBi
_cell_length_a 5.4479
_cell_length_b 5.4479
_cell_length_c 3.4013
_cell_angle_alpha 90.00
_cell_angle_beta 90.00
_cell_angle_gamma 120.00
_symmetry_space_group_name_H-M 'P 3 m 1'
_symmetry_Int_Tables_number 156
loop_
_symmetry_equiv_pos_as_xyz
'x,y,z'
'-y,x-y,z'
'-x+y,-x,z'
'-y,-x,z'
'-x+y,y,z'
'x,x-y,z'
loop_
_atom_site_label
_atom_site_type_symbol
_atom_site_fract_x
_atom_site_fract_y
_atom_site_fract_z
_atom_site_occupancy
Dy1 Dy 0.0000 0.0000 0.0000 1
Pa1 Pa 0.3333 0.6667 0.4748 1
Bi1 Bi 0.6667 0.3333 0.7886 1
```

Total moment in μB per formula unit: 1.74
Energy of formation from the pure elements in eV/atom: 0.109
DFT total energy in eV per atom: -5.88
ΔE to the lowest computed polymorph in meV/atom: 226.0



No. 3
The following is a DFT calculation (PBE) of a relaxed structure of Pr2DyPaBi4.

CIF file:
```
data_Pr2DyPaBi4
_cell_length_a 7.8843
_cell_length_b 4.5489
_cell_length_c 7.9151
_cell_angle_alpha 90.00
_cell_angle_beta 109.25
_cell_angle_gamma 90.00
_symmetry_space_group_name_H-M 'P 1 2/m 1'
_symmetry_Int_Tables_number 10
loop_
_symmetry_equiv_pos_as_xyz
'x,y,z'
'-x,-y,-z'
'-x,y,-z'
'x,-y,z'
loop_
_atom_site_label
_atom_site_type_symbol
_atom_site_fract_x
_atom_site_fract_y
_atom_site_fract_z
_atom_site_occupancy
Pr1 Pr 0.0000 0.0000 0.0000 1
Pr2 Pr 0.5000 0.5000 0.0000 1
Dy1 Dy 0.0000 0.5000 0.5000 1
Pa1 Pa 0.5000 0.0000 0.5000 1
Bi1 Bi 0.2470 0.0000 0.7381 1
Bi2 Bi 0.2531 0.5000 0.2606 1
```

Total moment in μB per formula unit: 1.02
Energy of formation from the pure elements in eV/atom: -0.707
DFT total energy in eV per atom: -5.60



Calculated calculated volume (A^3/atom), listed in the same order as above: 31.642; 29.142; 33.500